A plane-wave DFT calculation with PBE was carried out for a relaxed structure of TmSc4Bi5.

```
TmSc4Bi5
1.0
-2.149 3.045 10.748
2.149 -3.045 10.748
2.149 3.045 -10.748
Tm Sc Bi
1 4 5
Direct
0.000 0.000 0.000
0.202 0.202 0.000
0.400 0.400 0.000
0.600 0.600 0.000
0.798 0.798 0.000
0.104 0.604 0.500
0.301 0.801 0.500
0.500 0.000 0.500
0.699 0.199 0.500
0.896 0.396 0.500
```

Results
DFT formation energy, meV per atom: -683
Magnetization, μB per formula unit: 0.000
Symmetry: Immm
Energy, eV per atom: -5.603